[1]
Compound: Li2TaAl
Source: Alexandria via LeMat-Bulk
Functional: PBE
Structure: optimized geometry

Output
formation energy from the elements	0.296	eV per atom
distance to the lowest polymorph of the same formula	0.279	eV/atom
total magnetization	0.00	μB/f.u.
Fermi-level density of states	5.9	states/eV/cell

Cell lengths 5.4486, 9.5962, 2.6172 Å; angles 90.00, 90.00, 90.00 degrees
Closest atoms and distances in Å follow each position.
Space group Cmmm (No. 65)
Inequivalent atoms, fractional coordinates:
Li1 0.2500 0.2500 0.0000 x4  4 Li 2.62-2.72
Ta1 0.0000 0.0000 0.5000 x2  2 Ta 2.62, 2 Al 2.72
Al1 0.0000 0.5000 0.5000 x2  2 Al 2.62, 2 Ta 2.72

[2]
Compound: LiTaAl2
Source: Alexandria via LeMat-Bulk
Functional: PBE
Structure: optimized geometry

Output
formation energy from the elements	-0.094	eV per atom
total magnetization	0.00	μB/f.u.
Fermi-level density of states	3.4	states/eV/cell

Cell lengths 10.1770, 2.8413, 4.8496 Å; angles 90.00, 108.94, 90.00 degrees
Closest atoms and distances in Å follow each position.
Space group Cm (No. 8)
Inequivalent atoms, fractional coordinates:
Li1 0.0000 0.0000 0.0000 x2  7 Al 2.77-2.86, 2 Li 2.84
Ta1 0.2294 0.0000 0.6132 x2  7 Al 2.78-2.82, 2 Ta 2.84
Al1 0.2485 0.5000 0.1250 x2  3 Li 2.79-2.82, 4 Ta 2.81-2.82, 4 Al 2.84-2.86
Al2 0.4821 0.0000 0.4993 x2  4 Li 2.77-2.86, 3 Ta 2.78-2.80, 4 Al 2.84-2.86

[3]
Compound: Li2TaAl
Source: Alexandria via LeMat-Bulk
Functional: PBE
Structure: optimized geometry

Output
formation energy from the elements	0.141	eV per atom
distance to the lowest polymorph of the same formula	0.124	eV/atom
total magnetization	0.00	μB/f.u.
Fermi-level density of states	1.9	states/eV/cell

Cell lengths 2.7294, 3.9883, 6.1458 Å; angles 90.00, 97.37, 90.00 degrees
Closest atoms and distances in Å follow each position.
Space group Pm (No. 6)
Inequivalent atoms, fractional coordinates:
Li1 0.0000 0.0000 0.0000 x1  4 Li 2.60-2.73, 2 Al 2.78
Li2 0.3961 0.5000 0.2291 x1  4 Li 2.60-2.73
Ta1 0.9463 0.0000 0.5109 x1  2 Ta 2.73, 4 Al 2.79-2.82, 5 Li 2.93-3.00
Al1 0.5025 0.5000 0.7440 x1  2 Al 2.73, 5 Li 2.78-3.03, 4 Ta 2.79-2.82

[4]
Compound: Li2TaAl
Source: Alexandria via LeMat-Bulk
Functional: PBE
Structure: optimized geometry

Output
formation energy from the elements	0.017	eV per atom
distance to the lowest polymorph of the same formula	0.000	eV/atom
total magnetization	0.00	μB/f.u.
Fermi-level density of states	2.5	states/eV/cell

Cell lengths 2.8556, 2.8556, 8.1200 Å; angles 90.00, 90.00, 90.00 degrees
Closest atoms and distances in Å follow each position.
Space group P4mm (No. 99)
Inequivalent atoms, fractional coordinates:
Li1 0.0000 0.0000 0.0000 x1  4 Al 2.77, 8 Li 2.86
Li2 0.5000 0.5000 0.2497 x1  8 Li 2.86, 4 Ta 3.01
Ta1 0.0000 0.0000 0.5239 x1  4 Al 2.83, 4 Ta 2.86, 4 Li 3.01
Al1 0.5000 0.5000 0.7674 x1  4 Li 2.77, 4 Ta 2.83, 4 Al 2.86

[5]
Compound: Li2TaAl
Source: Alexandria via LeMat-Bulk
Functional: PBE
Structure: optimized geometry

Output
formation energy from the elements	0.687	eV per atom
distance to the lowest polymorph of the same formula	0.669	eV/atom
total magnetization	0.00	μB/f.u.
Fermi-level density of states	10.9	states/eV/cell

Cell lengths 7.0337, 7.0337, 5.3508 Å; angles 90.00, 90.00, 90.00 degrees
Closest atoms and distances in Å follow each position.
Space group I-42d (No. 122)
Inequivalent atoms, fractional coordinates:
Li1 0.2283 0.2500 0.1250 x8  2 Al 2.47, 2 Ta 2.68, 2 Li 2.69
Ta1 0.0000 0.0000 0.5000 x4  2 Al 2.68, 4 Li 2.68
Al1 0.0000 0.0000 0.0000 x4  4 Li 2.47, 2 Ta 2.68

[6]
Compound: LiTaAl2
Source: Alexandria via LeMat-Bulk
Functional: PBE
Structure: optimized geometry

Output
formation energy from the elements	0.034	eV per atom
total magnetization	0.00	μB/f.u.
Fermi-level density of states	6.1	states/eV/cell

Cell lengths 2.8831, 2.8831, 28.4892 Å; angles 90.00, 90.00, 120.00 degrees
Closest atoms and distances in Å follow each position.
Space group R3m (No. 160, hexagonal axes)
Inequivalent atoms, fractional coordinates:
Li1 0.0000 0.0000 0.0000 x3  3 Al 2.87, 6 Li 2.88, 3 Ta 3.07
Ta1 0.0000 0.0000 0.2429 x3  3 Al 2.86, 6 Ta 2.88, 3 Li 3.07
Al1 0.0000 0.0000 0.4945 x3  9 Al 2.81-2.88, 3 Ta 2.86
Al2 0.0000 0.0000 0.7486 x3  9 Al 2.81-2.88, 3 Li 2.87

[7]
Compound: Li2TaAl
Source: Alexandria via LeMat-Bulk
Functional: PBE
Structure: optimized geometry

Output
formation energy from the elements	0.134	eV per atom
distance to the lowest polymorph of the same formula	0.116	eV/atom
total magnetization	0.00	μB/f.u.
Fermi-level density of states	3.5	states/eV/cell

Cell lengths 10.6375, 2.6634, 4.9590 Å; angles 90.00, 105.33, 90.00 degrees
Closest atoms and distances in Å follow each position.
Space group C2/m (No. 12)
Inequivalent atoms, fractional coordinates:
Li1 0.2332 0.0000 0.2487 x4  6 Li 2.66-2.91, 2 Al 2.80
Ta1 0.0000 0.0000 0.5000 x2  2 Ta 2.66, 4 Al 2.81
Al1 0.0000 0.5000 0.0000 x2  2 Al 2.66, 4 Li 2.80, 4 Ta 2.81

[8]
Compound: LiTaAlTc
Source: Alexandria via LeMat-Bulk
Functional: PBE
Structure: optimized geometry

Output
formation energy from the elements	-0.182	eV per atom
total magnetization	0.00	μB/f.u.
Fermi-level density of states	6.2	states/eV/cell

Cell lengths 6.2094, 6.2094, 6.2094 Å; angles 90.00, 90.00, 90.00 degrees
Closest atoms and distances in Å follow each position.
Space group F-43m (No. 216)
Inequivalent atoms, fractional coordinates:
Li1 0.0000 0.0000 0.0000 x4  4 Al 2.69, 4 Ta 2.69
Ta1 0.2500 0.2500 0.7500 x4  4 Li 2.69, 4 Tc 2.69
Al1 0.2500 0.2500 0.2500 x4  4 Li 2.69, 4 Tc 2.69
Tc1 0.0000 0.0000 0.5000 x4  4 Ta 2.69, 4 Al 2.69